1.
YBeTe3: relaxed, PBE-GGA.

extended XYZ file:
```
5
Lattice="5.074 0.000 0.000 0.000 5.074 0.000 0.000 0.000 5.074" Properties=species:S:1:pos:R:3 pbc="T T T"
Y 2.537 2.537 2.537
Be 0.000 0.000 0.000
Te 0.000 2.537 0.000
Te 0.000 0.000 2.537
Te 2.537 0.000 0.000
```

Results
Crystal system: cubic
E above lowest polymorph (meV per atom): 0.0
Space-group type: Pm-3m
Calculated volume (A^3/atom): 26.1
Total moment (μB per cell): 0.000

=====

2.
YBeTe2: relaxed, PBE-GGA.

extended XYZ file:
```
4
Lattice="4.041 0.000 0.000 0.000 4.106 0.008 0.000 2.057 7.019" Properties=species:S:1:pos:R:3 pbc="T T T"
Y 0.000 3.340 3.847
Be 2.021 5.385 4.955
Te 0.000 5.390 6.220
Te 2.021 1.291 2.544
```

Results
Crystal system: monoclinic
E above lowest polymorph (meV per atom): 0.0
Space-group type: Pm
Calculated volume (A^3/atom): 29.1
Total moment (μB per cell): 0.000

=====

3.
Y2BeTe: relaxed, PBE-GGA.

extended XYZ file:
```
8
Lattice="7.718 0.000 0.000 0.000 7.718 0.000 3.859 3.859 3.490" Properties=species:S:1:pos:R:3 pbc="T T T"
Y 5.538 1.930 0.873
Y 2.181 5.789 0.873
Y 5.789 6.040 2.618
Y 9.648 9.397 2.618
Be 3.859 3.859 0.000
Be 3.859 7.718 1.745
Te 0.000 0.000 0.000
Te 7.718 3.859 1.745
```

Results
Crystal system: tetragonal
E above lowest polymorph (meV per atom): 323.4
Space-group type: I-42d
Calculated volume (A^3/atom): 26.0
Total moment (μB per cell): 0.000

=====

4.
YBeTe2: relaxed, PBE-GGA.

extended XYZ file:
```
4
Lattice="8.277 0.066 -0.002 6.419 5.226 0.002 -7.362 -2.607 2.742" Properties=species:S:1:pos:R:3 pbc="T T T"
Y 6.348 2.286 0.000
Be 3.666 2.800 1.372
Te 0.239 0.086 0.000
Te 4.429 0.160 1.370
```

Results
Crystal system: orthorhombic
E above lowest polymorph (meV per atom): 244.7
Space-group type: Imm2
Calculated volume (A^3/atom): 29.4
Total moment (μB per cell): 0.000

=====

- Which of these has the highest calculated volume?
  number 4